[1]
SrCa2Hf | GGA-PBEsol | optimized geometry

Cell lengths 5.748, 5.748, 5.748 Å; angles 60.00, 60.00, 60.00 degrees
Fractional coordinates of all 4 atoms:
Hf (0.500, 0.500, 0.500)
Sr (0.000, 0.000, 0.000)
Ca (0.750, 0.750, 0.750)
Ca (0.250, 0.250, 0.250)

- total energy (eV/atom) = -3.605
- E_form (eV/atom) = 0.547


[2]
Ca3HfTa | GGA-PBEsol | optimized geometry

Cell lengths 5.416, 5.416, 5.416 Å; angles 90.00, 90.00, 90.00 degrees
Last column: magnetic moment on the atom in μB.
Fractional coordinates of all 5 atoms:
Ca (0.000, 0.000, 0.500)  0.01
Ca (0.500, 0.000, 0.000)  0.01
Ca (0.000, 0.500, 0.000)  0.01
Ta (0.000, 0.000, 0.000)  0.04
Hf (0.500, 0.500, 0.500)  0.07

- total energy (eV/atom) = -4.328
- E_form (eV/atom) = 1.563


[3]
CaHfTa3 | GGA-PBEsol | optimized geometry

Cell lengths 4.959, 4.959, 4.959 Å; angles 90.00, 90.00, 90.00 degrees
Fractional coordinates of all 5 atoms:
Ta (0.000, 0.000, 0.500)
Ta (0.500, 0.000, 0.000)
Ta (0.000, 0.500, 0.000)
Ca (0.500, 0.500, 0.500)
Hf (0.000, 0.000, 0.000)

- total energy (eV/atom) = -8.459
- E_form (eV/atom) = 1.599


[4]
CaHf2ZrTa | GGA-PBEsol | optimized geometry

Cell lengths 4.906, 5.182, 5.182 Å; angles 90.00, 90.00, 90.00 degrees
Fractional coordinates of all 5 atoms:
Ca (0.500, 0.500, 0.500)
Hf (0.000, 0.000, 0.500)
Hf (0.000, 0.500, 0.000)
Zr (0.000, 0.000, 0.000)
Ta (0.500, 0.000, 0.000)

- total energy (eV/atom) = -7.768
- E_form (eV/atom) = 1.188